! NaMnClF2 | the Alexandria database | PBE+U | optimized geometry; values from VASP
! - space group = No. 123
! - electronic total energy (eV per cell) = -25.569
! - ΔE to the lowest computed polymorph (meV per atom) = 10.5
&SYSTEM
  ibrav = 0, nat = 5, ntyp = 4
/
ATOMIC_SPECIES
Na 22.99 Na.upf
F 19.00 F.upf
Mn 54.94 Mn.upf
Cl 35.45 Cl.upf
CELL_PARAMETERS angstrom
-0.454 3.842 1.506
-3.337 0.550 -2.408
-3.083 -1.872 3.846
ATOMIC_POSITIONS crystal
Na 0.500 0.500 0.500
F 0.000 0.500 0.000
F 0.500 0.000 0.000
Mn 0.000 0.000 0.000
Cl 0.000 0.000 0.500